1.
{"formula": "Cs2Rb2CoH6", "functional": "PBE-GGA", "state": "relaxed", "dos_ef_per_ev_atom": 0.2229, "sg": "No. 12", "total_energy_ev_per_atom": -2.909, "cell": [[8.038, -1.017, 0.498], [-4.857, 6.485, 0.498], [-0.724, -1.244, 6.232]], "species": ["H", "H", "H", "H", "H", "H", "Cs", "Cs", "Co", "Rb", "Rb"], "fractional_positions": [[0.826, 0.826, 0.664], [0.196, 0.048, 0.627], [0.804, 0.952, 0.373], [0.048, 0.196, 0.627], [0.952, 0.804, 0.373], [0.174, 0.174, 0.336], [0.364, 0.636, 0.500], [0.636, 0.364, 0.500], [0.000, 0.000, 0.500], [0.881, 0.119, 0.000], [0.119, 0.881, 0.000]]}

---

2.
{"formula": "CsCoH2S", "functional": "PBE-GGA", "state": "relaxed", "dos_ef_per_ev_atom": 1.8735, "sg": "No. 123", "total_energy_ev_per_atom": -2.873, "cell": [[4.068, 0.000, 0.000], [0.000, 8.365, 0.000], [0.000, 0.000, 4.068]], "species": ["Cs", "Co", "H", "H", "S"], "fractional_positions": [[0.000, 0.500, 0.000], [0.000, 0.000, 0.000], [0.000, 0.000, 0.500], [0.500, 0.000, 0.000], [0.500, 0.500, 0.500]]}